Material: PmVF
Method: DFT, PBE+U
State: relaxed

Properties
SG: P2_1/m
Total moment: 3.76 Bohr magnetons per cell
Raw total energy: -33.88 eV for the cell shown
Calculated density: 5.9 g cm⁻³

a = 3.556 Å, b = 4.489 Å, c = 7.739 Å
α = 90.00°, β = 103.27°, γ = 90.00°
Positions (direct):
1 Pm 0.149 0.250 0.297
2 Pm 0.851 0.750 0.703
3 V 0.480 0.250 0.958
4 V 0.520 0.750 0.042
5 F 0.233 0.750 0.466
6 F 0.767 0.250 0.534